{
  "formula": "K6Si2O7",
  "functional": "PBE",
  "state": "optimized geometry",
  "dos_at_fermi_per_ev_cell": 0.00,
  "formation_energy_uncorrected_mev_per_atom": -2166,
  "total_energy_ev_per_fu": -84.6,
  "spacegroup": "P2_1/c",
  "lattice": [[-0.724, -2.025, 8.717], [-2.258, -5.924, -1.564], [6.303, -8.931, -1.552]],
  "species": ["K", "K", "K", "K", "K", "K", "K", "K", "K", "K", "K", "K", "Si", "Si", "Si", "Si", "O", "O", "O", "O", "O", "O", "O", "O", "O", "O", "O", "O", "O", "O"],
  "frac_coords": [[0.027, 0.791, 0.457], [0.473, 0.791, 0.957], [0.973, 0.209, 0.543], [0.851, 0.969, 0.914], [0.351, 0.031, 0.586], [0.149, 0.031, 0.086], [0.649, 0.969, 0.414], [0.783, 0.604, 0.776], [0.283, 0.396, 0.724], [0.217, 0.396, 0.224], [0.717, 0.604, 0.276], [0.527, 0.209, 0.043], [0.136, 0.674, 0.875], [0.364, 0.674, 0.375], [0.864, 0.326, 0.125], [0.636, 0.326, 0.625], [0.000, 0.500, 0.000], [0.583, 0.257, 0.786], [0.083, 0.743, 0.714], [0.417, 0.743, 0.214], [0.500, 0.500, 0.500], [0.841, 0.075, 0.125], [0.341, 0.925, 0.375], [0.159, 0.925, 0.875], [0.659, 0.075, 0.625], [0.715, 0.505, 0.065], [0.215, 0.495, 0.435], [0.285, 0.495, 0.935], [0.785, 0.505, 0.565], [0.917, 0.257, 0.286]]
}



{
  "formula": "K4SiO4",
  "functional": "PBE",
  "state": "optimized geometry",
  "formation_energy_uncorrected_mev_per_atom": -1609,
  "total_energy_ev_per_fu": -44.1,
  "spacegroup": "I4/m",
  "lattice": [[-0.829, -1.580, -4.824], [5.058, 0.590, -3.805], [1.308, -6.147, -0.953]],
  "species": ["K", "K", "K", "K", "Si", "O", "O", "O", "O"],
  "frac_coords": [[0.797, 0.582, 0.823], [0.203, 0.418, 0.177], [0.621, 0.177, 0.582], [0.379, 0.823, 0.418], [0.000, 0.000, 0.000], [0.797, 0.263, 0.144], [0.203, 0.737, 0.856], [0.941, 0.856, 0.263], [0.059, 0.144, 0.737]]
}



{
  "formula": "K3Si5O12",
  "functional": "PBE",
  "state": "optimized geometry",
  "dos_at_fermi_per_ev_cell": 59.48,
  "formation_energy_uncorrected_mev_per_atom": -2180,
  "total_energy_ev_per_fu": -133.5,
  "spacegroup": "Ia-3d",
  "lattice": [[10.434, 0.000, 0.000], [-3.478, 9.837, 0.000], [-3.478, -4.919, 8.519]],
  "species": ["K", "K", "K", "K", "K", "K", "K", "K", "K", "K", "K", "K", "Si", "Si", "Si", "Si", "Si", "Si", "Si", "Si", "Si", "Si", "Si", "Si", "Si", "Si", "Si", "Si", "Si", "Si", "Si", "Si", "O", "O", "O", "O", "O", "O", "O", "O", "O", "O", "O", "O", "O", "O", "O", "O", "O", "O", "O", "O", "O", "O", "O", "O", "O", "O", "O", "O", "O", "O", "O", "O", "O", "O", "O", "O", "O", "O", "O", "O", "O", "O", "O", "O", "O", "O", "O", "O"],
  "frac_coords": [[0.750, 0.375, 0.125], [0.875, 0.750, 0.125], [0.375, 0.750, 0.625], [0.250, 0.125, 0.375], [0.875, 0.125, 0.250], [0.375, 0.625, 0.250], [0.625, 0.375, 0.750], [0.125, 0.875, 0.750], [0.750, 0.875, 0.625], [0.625, 0.250, 0.375], [0.125, 0.250, 0.875], [0.250, 0.625, 0.875], [0.125, 0.375, 0.250], [0.000, 0.500, 0.000], [0.000, 0.000, 0.000], [0.375, 0.250, 0.125], [0.500, 0.000, 0.500], [0.500, 0.500, 0.000], [0.125, 0.750, 0.375], [0.750, 0.125, 0.875], [0.750, 0.625, 0.375], [0.375, 0.125, 0.750], [0.625, 0.875, 0.250], [0.500, 0.500, 0.500], [0.500, 0.000, 0.000], [0.000, 0.000, 0.500], [0.250, 0.375, 0.625], [0.250, 0.875, 0.125], [0.000, 0.500, 0.500], [0.875, 0.250, 0.625], [0.625, 0.750, 0.875], [0.875, 0.625, 0.750], [0.679, 0.100, 0.992], [0.313, 0.492, 0.392], [0.008, 0.400, 0.321], [0.492, 0.179, 0.100], [0.578, 0.679, 0.687], [0.008, 0.608, 0.187], [0.313, 0.821, 0.422], [0.108, 0.922, 0.100], [0.608, 0.008, 0.687], [0.679, 0.578, 0.187], [0.821, 0.508, 0.400], [0.813, 0.892, 0.992], [0.100, 0.679, 0.492], [0.400, 0.392, 0.078], [0.078, 0.892, 0.400], [0.422, 0.100, 0.608], [0.078, 0.187, 0.179], [0.508, 0.687, 0.108], [0.813, 0.922, 0.321], [0.100, 0.422, 0.108], [0.400, 0.008, 0.821], [0.608, 0.600, 0.422], [0.892, 0.813, 0.492], [0.821, 0.313, 0.922], [0.392, 0.400, 0.578], [0.108, 0.187, 0.508], [0.179, 0.687, 0.078], [0.187, 0.078, 0.679], [0.600, 0.992, 0.179], [0.900, 0.578, 0.892], [0.492, 0.313, 0.892], [0.578, 0.900, 0.392], [0.922, 0.813, 0.821], [0.922, 0.108, 0.600], [0.900, 0.321, 0.508], [0.187, 0.108, 0.008], [0.600, 0.608, 0.922], [0.392, 0.992, 0.313], [0.321, 0.422, 0.813], [0.179, 0.492, 0.600], [0.892, 0.078, 0.900], [0.687, 0.179, 0.578], [0.508, 0.821, 0.900], [0.992, 0.392, 0.813], [0.422, 0.321, 0.313], [0.992, 0.600, 0.679], [0.687, 0.508, 0.608], [0.321, 0.900, 0.008]]
}



{
  "formula": "KSiO2",
  "functional": "PBE",
  "state": "optimized geometry",
  "dos_at_fermi_per_ev_cell": 0.10,
  "formation_energy_uncorrected_mev_per_atom": -1706,
  "total_energy_ev_per_fu": -23.3,
  "spacegroup": "I-42d",
  "lattice": [[-1.824, 2.992, 4.483], [0.288, -4.672, 3.236], [3.042, 0.055, 4.812]],
  "species": ["K", "K", "Si", "Si", "O", "O", "O", "O"],
  "frac_coords": [[0.000, 0.000, 0.000], [0.750, 0.250, 0.500], [0.500, 0.500, 0.000], [0.250, 0.750, 0.500], [0.460, 0.125, 0.250], [0.290, 0.625, 0.250], [0.375, 0.540, 0.750], [0.875, 0.710, 0.750]]
}